Entry from Alexandria via LeMat-Bulk: a relaxed structure of NpCdSb (GGA-PBE).

Formation energy from raw total energies, eV per atom: 0.02
ΔE to the lowest computed polymorph, kJ per mole of atoms: 0.00
Volume, Å³ per atom: 24.33
Total moment, Bohr magnetons per cell: 0.00

```
data_NpCdSb
_symmetry_space_group_name_H-M 'R -3 m'
_symmetry_Int_Tables_number 166
_symmetry_space_group_name_Hall '-R 3 2"'
_cell_length_a 3.5765
_cell_length_b 3.5765
_cell_length_c 39.5401
_cell_angle_alpha 90.00
_cell_angle_beta 90.00
_cell_angle_gamma 120.00
loop_
_atom_site_label
_atom_site_type_symbol
_atom_site_fract_x
_atom_site_fract_y
_atom_site_fract_z
Np1 Np 0.0000 0.0000 0.1829
Cd1 Cd 0.0000 0.0000 0.3614
Sb1 Sb 0.0000 0.0000 0.0881
```

Entry from Alexandria via LeMat-Bulk: a relaxed structure of La4HPtI2 (GGA-PBE).

VASP energy, eV/atom: -4.911
Volume, Å³ per atom: 30.06
Total moment, Bohr magnetons per cell: 0.01

```
data_La4HPtI2
_symmetry_space_group_name_H-M 'P 1 2/m 1'
_symmetry_Int_Tables_number 10
_cell_length_a 7.134
_cell_length_b 4.174
_cell_length_c 8.413
_cell_angle_alpha 90.00
_cell_angle_beta 106.26
_cell_angle_gamma 90.00
loop_
_symmetry_equiv_pos_as_xyz
'x,y,z'
'-x,-y,-z'
'-x,y,-z'
'x,-y,z'
loop_
_atom_site_label
_atom_site_type_symbol
_atom_site_fract_x
_atom_site_fract_y
_atom_site_fract_z
La1 La 0.225 0.000 0.197
La2 La 0.250 0.500 0.808
H1 H 0.000 0.500 0.000
Pt1 Pt 0.500 0.000 0.000
I1 I 0.000 0.000 0.500
I2 I 0.500 0.500 0.500
```

Entry from Alexandria via LeMat-Bulk: a relaxed structure of PuNpGaTc (GGA-PBE).

Formation energy, eV/atom: -0.05
Volume, Å³ per atom: 18.55
Total moment, Bohr magnetons per cell: 30.50

```
data_PuNpGaTc
_symmetry_space_group_name_H-M 'F -4 3 m'
_symmetry_Int_Tables_number 216
_symmetry_space_group_name_Hall 'F -4 2 3'
_cell_length_a 6.670
_cell_length_b 6.670
_cell_length_c 6.670
_cell_angle_alpha 90.00
_cell_angle_beta 90.00
_cell_angle_gamma 90.00
loop_
_atom_site_label
_atom_site_type_symbol
_atom_site_fract_x
_atom_site_fract_y
_atom_site_fract_z
Pu1 Pu 0.000 0.000 0.000
Np1 Np 0.250 0.250 0.250
Ga1 Ga 0.250 0.250 0.750
Tc1 Tc 0.000 0.000 0.500
```

Entry from Alexandria via LeMat-Bulk: a relaxed structure of SmBiSb (GGA-PBE).

Formation energy from raw total energies, eV per atom: -0.38
ΔE to the lowest computed polymorph, kJ per mole of atoms: 28.05
Volume, Å³ per atom: 29.64
Total moment, Bohr magnetons per cell: 0.15

```
data_SmBiSb
_symmetry_space_group_name_H-M 'P 3 m 1'
_symmetry_Int_Tables_number 156
_cell_length_a 5.5512
_cell_length_b 5.5512
_cell_length_c 3.3319
_cell_angle_alpha 90.00
_cell_angle_beta 90.00
_cell_angle_gamma 120.00
loop_
_symmetry_equiv_pos_as_xyz
'x,y,z'
'-y,x-y,z'
'-x+y,-x,z'
'-y,-x,z'
'-x+y,y,z'
'x,x-y,z'
loop_
_atom_site_label
_atom_site_type_symbol
_atom_site_fract_x
_atom_site_fract_y
_atom_site_fract_z
Sm1 Sm 0.0000 0.0000 0.0000
Bi1 Bi 0.3333 0.6667 0.5003
Sb1 Sb 0.6667 0.3333 0.4973
```

Entry from Alexandria via LeMat-Bulk: a relaxed structure of InFe2Au (GGA-PBE).

Formation energy, eV/atom: 0.15
Volume, Å³ per atom: 15.79
Total moment, Bohr magnetons per cell: 10.39

```
data_InFe2Au
_symmetry_space_group_name_H-M 'I 4/m m m'
_symmetry_Int_Tables_number 139
_symmetry_space_group_name_Hall '-I 4 2'
_cell_length_a 3.922
_cell_length_b 3.922
_cell_length_c 8.212
_cell_angle_alpha 90.00
_cell_angle_beta 90.00
_cell_angle_gamma 90.00
loop_
_atom_site_label
_atom_site_type_symbol
_atom_site_fract_x
_atom_site_fract_y
_atom_site_fract_z
In1 In 0.000 0.000 0.000
Fe1 Fe 0.000 0.500 0.250
Au1 Au 0.000 0.000 0.500
```

Entry from Alexandria via LeMat-Bulk: a relaxed structure of CuAsO4 (GGA-PBE).

Formation energy from raw total energies, eV per atom: -0.80
Volume, Å³ per atom: 12.16
Total moment, Bohr magnetons per cell: 0.00

```
data_CuAsO4
_symmetry_space_group_name_H-M 'C 1 2/m 1'
_symmetry_Int_Tables_number 12
_cell_length_a 10.369
_cell_length_b 2.760
_cell_length_c 5.890
_cell_angle_alpha 90.00
_cell_angle_beta 120.00
_cell_angle_gamma 90.00
loop_
_symmetry_equiv_pos_as_xyz
'x,y,z'
'-x,-y,-z'
'-x,y,-z'
'x,-y,z'
'x+1/2,y+1/2,z'
'-x+1/2,-y+1/2,-z'
'-x+1/2,y+1/2,-z'
'x+1/2,-y+1/2,z'
loop_
_atom_site_label
_atom_site_type_symbol
_atom_site_fract_x
_atom_site_fract_y
_atom_site_fract_z
Cu1 Cu 0.000 0.000 0.000
As1 As 0.000 0.500 0.500
O1 O 0.064 0.500 0.871
O2 O 0.133 0.000 0.565
```

Entry from Alexandria via LeMat-Bulk: a relaxed structure of TaSi2Br (GGA-PBE).

Formation energy from raw total energies, eV per atom: 0.82
ΔE to the lowest computed polymorph, kJ per mole of atoms: 76.86
Volume, Å³ per atom: 17.33
Total moment, Bohr magnetons per cell: 0.00

```
data_TaSi2Br
_symmetry_space_group_name_H-M 'I -4 m 2'
_symmetry_Int_Tables_number 119
_symmetry_space_group_name_Hall 'I -4 -2'
_cell_length_a 4.081
_cell_length_b 4.081
_cell_length_c 8.327
_cell_angle_alpha 90.00
_cell_angle_beta 90.00
_cell_angle_gamma 90.00
loop_
_atom_site_label
_atom_site_type_symbol
_atom_site_fract_x
_atom_site_fract_y
_atom_site_fract_z
Ta1 Ta 0.000 0.000 0.000
Si1 Si 0.000 0.000 0.500
Si2 Si 0.000 0.500 0.250
Br1 Br 0.000 0.500 0.750
```

Entry from Alexandria via LeMat-Bulk: a relaxed structure of LuMgCd (GGA-PBE).

Formation energy, eV/atom: -0.18
Volume, Å³ per atom: 24.20
Total moment, Bohr magnetons per cell: 0.00

```
data_LuMgCd
_symmetry_space_group_name_H-M 'P -6 m 2'
_symmetry_Int_Tables_number 187
_symmetry_space_group_name_Hall 'P -6 2'
_cell_length_a 4.9846
_cell_length_b 4.9846
_cell_length_c 3.3736
_cell_angle_alpha 90.00
_cell_angle_beta 90.00
_cell_angle_gamma 120.00
loop_
_atom_site_label
_atom_site_type_symbol
_atom_site_fract_x
_atom_site_fract_y
_atom_site_fract_z
Lu1 Lu 0.0000 0.0000 0.0000
Mg1 Mg 0.3333 0.6667 0.5000
Cd1 Cd 0.6667 0.3333 0.5000
```